#A
An optimized crystal structure of TaTlCl. Source: Alexandria, functional PBE.

Properties
The crystal system is tetragonal. The size of the total moment comes out at 0.39 μB/f.u.

Lattice parameters (Å, degrees): 8.0947 8.0947 8.0947 158.41 158.41 30.72
Last column: nearest neighbours and their distance in Å.
Fractional positions:
Ta 0.3539 0.3539 0.0000  4 Cl 2.64
Tl 0.6938 0.6938 0.0000  4 Tl 3.03, 4 Ta 3.29
Cl 0.9523 0.9523 0.0000  4 Ta 2.64


#B
An optimized crystal structure of TaTlCl. Source: Alexandria, functional PBE.

Properties
The crystal system is hexagonal. The size of the total moment comes out at 0.00 μB/f.u.

Lattice parameters (Å, degrees): 4.7301 4.7301 3.1126 90.00 90.00 120.00
Last column: nearest neighbours and their distance in Å.
Fractional positions:
Tl 0.3333 0.6667 0.6668  2 Tl 3.11, 6 Cl 3.14, 6 Ta 3.14
Ta 0.6667 0.3333 0.1667  3 Cl 2.73
Cl 0.0000 0.0000 0.1665  3 Ta 2.73


#A ends up most stable, edging out the next structure by 239 meV per atom.